Density functional theory data (PBE+U) for an optimized crystal structure of U2CoSi2H14O18.

Lattice parameters (Å, degrees): 9.5135 9.5135 12.8192 90.00 90.00 136.36
Closest atoms and distances in Å follow each position.
Atoms (fractional coordinates):
U  0.7059  0.2941  0.1783  2 O 1.84-1.86
U  0.2941  0.7059  0.8217  2 O 1.84-1.86
U  0.7941  0.2059  0.6783  2 O 1.84-1.86
U  0.2059  0.7941  0.3217  2 O 1.84-1.86
Co  0.0000  0.0000  0.0000  6 O 2.09-2.13
Co  0.5000  0.5000  0.5000  6 O 2.09-2.13
Si  0.6985  0.3015  0.4288  4 O 1.63-1.68
Si  0.3015  0.6985  0.5712  4 O 1.63-1.68
Si  0.8015  0.1985  0.9288  4 O 1.63-1.68
Si  0.1985  0.8015  0.0712  4 O 1.63-1.68
H  0.8649  0.1351  0.0787  1 O 1.00
H  0.1351  0.8649  0.9213  1 O 1.00
H  0.6351  0.3649  0.5787  1 O 1.00
H  0.3649  0.6351  0.4213  1 O 1.00
H  0.8721  0.1279  0.3091  1 O 0.99
H  0.1279  0.8721  0.6909  1 O 0.99
H  0.6279  0.3721  0.8091  1 O 0.99
H  0.3721  0.6279  0.1909  1 O 0.99
H  0.7607  0.6787  0.1328  1 O 0.98
H  0.2393  0.3213  0.8672  1 O 0.98
H  0.7393  0.8213  0.6328  1 O 0.98
H  0.8213  0.7393  0.3672  1 O 0.98
H  0.2607  0.1787  0.3672  1 O 0.98
H  0.1787  0.2607  0.6328  1 O 0.98
H  0.6787  0.7607  0.8672  1 O 0.98
H  0.3213  0.2393  0.1328  1 O 0.98
H  0.8532  0.1468  0.4292  1 O 1.00
H  0.1468  0.8532  0.5708  1 O 1.00
H  0.6468  0.3532  0.9292  1 O 1.00
H  0.3532  0.6468  0.0708  1 O 1.00
H  0.2603  0.3508  0.1131  1 O 1.00
H  0.7397  0.6492  0.8869  1 O 1.00
H  0.2397  0.1492  0.6131  1 O 1.00
H  0.1492  0.2397  0.3869  1 O 1.00
H  0.7603  0.8508  0.3869  1 O 1.00
H  0.8508  0.7603  0.6131  1 O 1.00
H  0.3508  0.2603  0.8869  1 O 1.00
H  0.6492  0.7397  0.1131  1 O 1.00
O  0.8796  0.1204  0.0035  1 H 1.00
O  0.1204  0.8796  0.9965  1 H 1.00
O  0.6204  0.3796  0.5035  1 H 1.00
O  0.3796  0.6204  0.4965  1 H 1.00
O  0.2026  0.2118  0.1158  2 H 0.98-1.00
O  0.7974  0.7882  0.8842  2 H 0.98-1.00
O  0.2974  0.2882  0.6158  2 H 0.98-1.00
O  0.2882  0.2974  0.3842  2 H 0.98-1.00
O  0.7026  0.7118  0.3842  2 H 0.98-1.00
O  0.7118  0.7026  0.6158  2 H 0.98-1.00
O  0.2118  0.2026  0.8842  2 H 0.98-1.00
O  0.7882  0.7974  0.1158  2 H 0.98-1.00
O  0.0223  0.6252  0.1541  1 Si 1.64
O  0.9777  0.3748  0.8459  1 Si 1.64
O  0.4777  0.8748  0.6541  1 Si 1.64
O  0.8748  0.4777  0.3459  1 Si 1.64
O  0.5223  0.1252  0.3459  1 Si 1.64
O  0.1252  0.5223  0.6541  1 Si 1.64
O  0.6252  0.0223  0.8459  1 Si 1.64
O  0.3748  0.9777  0.1541  1 Si 1.64
O  0.7284  0.2716  0.0065  1 Si 1.63, 1 H 1.75
O  0.2716  0.7284  0.9935  1 Si 1.63, 1 H 1.75
O  0.7716  0.2284  0.5065  1 Si 1.63, 1 H 1.75
O  0.2284  0.7716  0.4935  1 Si 1.63, 1 H 1.75
O  0.6025  0.3975  0.1606  1 U 1.84, 2 H 1.93
O  0.3975  0.6025  0.8394  1 U 1.84, 2 H 1.93
O  0.8975  0.1025  0.6606  1 U 1.84, 2 H 1.93
O  0.1025  0.8975  0.3394  1 U 1.84, 2 H 1.93
O  0.8106  0.1894  0.1935  2 H 1.76-1.84, 1 U 1.86
O  0.1894  0.8106  0.8065  2 H 1.76-1.84, 1 U 1.86
O  0.6894  0.3106  0.6935  2 H 1.76-1.84, 1 U 1.86
O  0.3106  0.6894  0.3065  2 H 1.76-1.84, 1 U 1.86
O  0.8961  0.1039  0.3787  2 H 0.99-1.00
O  0.1039  0.8961  0.6213  2 H 0.99-1.00
O  0.6039  0.3961  0.8787  2 H 0.99-1.00
O  0.3961  0.6039  0.1213  2 H 0.99-1.00

Properties
The value obtained for the total energy is -6.4666 eV per atom.